VASP calculation (PBE) on Zr2FeHg2 after structural relaxation.

Properties
* D(E_F): 6.19 states/eV per cell
* total magnetic moment: 0.1336 μB per atom
* uncorrected energy: -4.69 eV per atom
* V: 115.6 Å³ per cell
* ΔH_f (0 K): 545 meV per atom
* offset from the most stable computed form: 355 meV per atom

abc: 8.366 8.366 8.366
angles: 153.59 153.59 37.69
Fractional positions:
Zr: 0.088 0.088 0.000
Zr: 0.912 0.912 0.000
Fe: 0.500 0.500 0.000
Hg: 0.250 0.750 0.500
Hg: 0.750 0.250 0.500

---

VASP calculation (PBE) on POs2N after structural relaxation.

Properties
* D(E_F): 4.34 states/eV per cell
* total magnetic moment: 0.0000 μB per atom
* uncorrected energy: -8.77 eV per atom
* V: 117.5 Å³ per cell
* offset from the most stable computed form: 0 meV per atom

abc: 5.922 5.922 5.922
angles: 130.45 130.45 72.69
Fractional positions:
P: 0.000 0.000 0.000
P: 0.750 0.250 0.500
Os: 0.177 0.625 0.052
Os: 0.375 0.427 0.552
Os: 0.573 0.125 0.948
Os: 0.875 0.823 0.448
N: 0.250 0.750 0.500
N: 0.500 0.500 0.000

---

VASP calculation (PBE) on DyGe3Au3 after structural relaxation.

Properties
* D(E_F): 6.16 states/eV per cell
* total magnetic moment: 0.0000 μB per atom
* uncorrected energy: -3.95 eV per atom
* V: 350.3 Å³ per cell
* ΔH_f (0 K): 92 meV per atom

abc: 7.049 7.049 7.049
angles: 90.00 90.00 90.00
Fractional positions:
Dy: 0.000 0.000 0.000
Dy: 0.500 0.500 0.500
Ge: 0.000 0.250 0.500
Ge: 0.000 0.750 0.500
Ge: 0.250 0.500 0.000
Ge: 0.500 0.000 0.250
Ge: 0.500 0.000 0.750
Ge: 0.750 0.500 0.000
Au: 0.000 0.500 0.250
Au: 0.000 0.500 0.750
Au: 0.250 0.000 0.500
Au: 0.500 0.250 0.000
Au: 0.500 0.750 0.000
Au: 0.750 0.000 0.500

---

VASP calculation (PBE) on Pm5Pr2Mg after structural relaxation.

Properties
* D(E_F): 22.17 states/eV per cell
* total magnetic moment: 0.0000 μB per atom
* uncorrected energy: -4.18 eV per atom
* V: 542.9 Å³ per cell
* ΔH_f (0 K): 181 meV per atom
* offset from the most stable computed form: 183 meV per atom

abc: 9.662 9.662 9.592
angles: 96.38 96.38 140.11
Fractional positions:
Pm: 0.073 0.438 0.887
Pm: 0.097 0.213 0.636
Pm: 0.113 0.887 0.750
Pm: 0.213 0.097 0.136
Pm: 0.438 0.073 0.387
Pm: 0.562 0.927 0.613
Pm: 0.787 0.903 0.864
Pm: 0.887 0.113 0.250
Pm: 0.903 0.787 0.364
Pm: 0.927 0.562 0.113
Pr: 0.000 0.500 0.500
Pr: 0.500 0.000 0.000
Pr: 0.500 0.500 0.000
Pr: 0.500 0.500 0.500
Mg: 0.355 0.645 0.250
Mg: 0.645 0.355 0.750

---

VASP calculation (PBE) on AcPr3Cu4 after structural relaxation.

Properties
* D(E_F): 6.56 states/eV per cell
* total magnetic moment: 0.0000 μB per atom
* uncorrected energy: -4.46 eV per atom
* V: 197.0 Å³ per cell
* ΔH_f (0 K): -104 meV per atom

abc: 5.198 5.198 7.291
angles: 90.00 90.00 90.00
Fractional positions:
Ac: 0.000 0.000 0.000
Pr: 0.000 0.000 0.500
Pr: 0.500 0.500 0.000
Pr: 0.500 0.500 0.500
Cu: 0.000 0.500 0.264
Cu: 0.000 0.500 0.736
Cu: 0.500 0.000 0.264
Cu: 0.500 0.000 0.736

---

VASP calculation (PBE) on Y2TeRuC after structural relaxation.

Properties
* D(E_F): 2.67 states/eV per cell
* total magnetic moment: 0.0000 μB per atom
* uncorrected energy: -7.47 eV per atom
* V: 103.4 Å³ per cell

abc: 5.139 5.139 3.915
angles: 90.00 90.00 90.00
Fractional positions:
Y: 0.000 0.500 0.000
Y: 0.500 0.000 0.000
Te: 0.000 0.000 0.500
Ru: 0.500 0.500 0.500
C: 0.500 0.500 0.000